Entry 1:
Density functional theory data (PBE-GGA) for a geometry-optimized Cd2Cu structure.

Cell lengths 3.021, 3.021, 22.798 Å; angles 90.00, 90.00, 120.00 degrees
Fractional coordinates of all 9 atoms:
1 Cd 0.000 0.000 0.065
2 Cd 0.000 0.000 0.935
3 Cd 0.333 0.667 0.594
4 Cd 0.333 0.667 0.724
5 Cd 0.667 0.333 0.276
6 Cd 0.667 0.333 0.406
7 Cu 0.000 0.000 0.500
8 Cu 0.333 0.667 0.840
9 Cu 0.667 0.333 0.160

=====

Entry 2:
Density functional theory data (PBE-GGA) for a geometry-optimized AlMoPt2 structure.

Cell lengths 2.830, 3.790, 5.762 Å; angles 90.00, 90.00, 90.00 degrees
Fractional coordinates of all 4 atoms:
1 Al 0.000 0.000 0.000
2 Mo 0.500 0.500 0.294
3 Pt 0.000 0.000 0.506
4 Pt 0.500 0.500 0.802

=====

Entry 3:
Density functional theory data (PBE-GGA) for a geometry-optimized CdHgBr3 structure.

Cell lengths 6.940, 6.940, 8.852 Å; angles 93.72, 93.72, 49.61 degrees
Fractional coordinates of all 10 atoms:
1 Cd 0.144 0.144 0.439
2 Cd 0.856 0.856 0.561
3 Hg 0.404 0.404 0.051
4 Hg 0.596 0.596 0.949
5 Br 0.050 0.050 0.715
6 Br 0.210 0.210 0.130
7 Br 0.344 0.344 0.565
8 Br 0.656 0.656 0.435
9 Br 0.790 0.790 0.870
10 Br 0.950 0.950 0.285

=====

Entry 4:
Density functional theory data (PBE-GGA) for a geometry-optimized BaCd2Sn structure.

Cell lengths 5.003, 8.320, 7.020 Å; angles 90.00, 110.86, 90.00 degrees
Fractional coordinates of all 8 atoms:
1 Ba 0.058 0.250 0.115
2 Ba 0.942 0.750 0.885
3 Cd 0.267 0.584 0.535
4 Cd 0.267 0.916 0.535
5 Cd 0.733 0.084 0.465
6 Cd 0.733 0.416 0.465
7 Sn 0.364 0.250 0.727
8 Sn 0.636 0.750 0.273

=====

Entry 5:
Density functional theory data (PBE-GGA) for a geometry-optimized LiLaTm2Tl4 structure.

Cell lengths 9.530, 9.530, 9.530 Å; angles 32.05, 32.05, 32.05 degrees
Fractional coordinates of all 8 atoms:
1 Li 0.000 0.000 0.000
2 La 0.500 0.500 0.500
3 Tm 0.255 0.255 0.255
4 Tm 0.745 0.745 0.745
5 Tl 0.119 0.119 0.119
6 Tl 0.371 0.371 0.371
7 Tl 0.629 0.629 0.629
8 Tl 0.881 0.881 0.881

=====

Entry 6:
Density functional theory data (PBE-GGA) for a geometry-optimized SrSbRu2 structure.

Cell lengths 4.705, 4.705, 3.432 Å; angles 90.00, 90.00, 90.00 degrees
Fractional coordinates of all 4 atoms:
1 Sr 0.000 0.000 0.000
2 Sb 0.500 0.500 0.000
3 Ru 0.000 0.500 0.500
4 Ru 0.500 0.000 0.500

=====

The calculation returns the following D(E_F) values, one per record and in order: 0.320; 0.482; 0.000; 0.557; 0.522; 0.763 states/eV per atom.
The calculation returns the following VASP energy values, one per record and in order: -1.76; -7.12; -1.89; -2.14; -3.47; -5.80 eV per atom.